1.
# BeRePt, optimized geometry, DFT GGA-PBE
# Fermi-level density of states = 0.775 states/eV per atom
# ΔH_f (0 K) = -27 meV per atom
# Crystal system = trigonal
data_BeRePt
_chemical_formula_sum 'Be1 Re1 Pt1'
_space_group_name_H-M_alt 'P 3 m 1'
_space_group_IT_number 156
_space_group_name_Hall 'P 3 -2"'
_cell_length_a 2.7301
_cell_length_b 2.7301
_cell_length_c 6.2196
_cell_angle_alpha 90.00
_cell_angle_beta 90.00
_cell_angle_gamma 120.00
loop_
_atom_site_label
_atom_site_fract_x
_atom_site_fract_y
_atom_site_fract_z
Be1 0.0000 0.0000 0.0000
Re1 0.3333 0.6667 0.6779
Pt1 0.6667 0.3333 0.3021

=====

2.
# BeRePt2, optimized geometry, DFT GGA-PBE
# Fermi-level density of states = 0.583 states/eV per atom
# ΔH_f (0 K) = 339 meV per atom
# Crystal system = tetragonal
data_BeRePt2
_chemical_formula_sum 'Be4 Re4 Pt8'
_space_group_name_H-M_alt 'I -4 2 d'
_space_group_IT_number 122
_space_group_name_Hall 'I -4 2bw'
_cell_length_a 3.755
_cell_length_b 3.755
_cell_length_c 17.303
_cell_angle_alpha 90.00
_cell_angle_beta 90.00
_cell_angle_gamma 90.00
loop_
_atom_site_label
_atom_site_fract_x
_atom_site_fract_y
_atom_site_fract_z
Be1 0.000 0.000 0.000
Re1 0.000 0.000 0.500
Pt1 0.242 0.250 0.125

=====

3.
# Be2RePt, optimized geometry, DFT GGA-PBE
# Fermi-level density of states = 1.240 states/eV per atom
# ΔH_f (0 K) = 250 meV per atom
# Crystal system = cubic
data_Be2RePt
_chemical_formula_sum 'Be8 Re4 Pt4'
_space_group_name_H-M_alt 'F -4 3 m'
_space_group_IT_number 216
_space_group_name_Hall 'F -4 2 3'
_cell_length_a 5.883
_cell_length_b 5.883
_cell_length_c 5.883
_cell_angle_alpha 90.00
_cell_angle_beta 90.00
_cell_angle_gamma 90.00
loop_
_atom_site_label
_atom_site_fract_x
_atom_site_fract_y
_atom_site_fract_z
Be1 0.000 0.000 0.000
Be2 0.250 0.250 0.250
Re1 0.250 0.250 0.750
Pt1 0.000 0.000 0.500

=====

4.
# BeRePt2, optimized geometry, DFT GGA-PBE
# Fermi-level density of states = 0.672 states/eV per atom
# ΔH_f (0 K) = -85 meV per atom
# Crystal system = orthorhombic
data_BeRePt2
_chemical_formula_sum 'Be2 Re2 Pt4'
_space_group_name_H-M_alt 'I m m m'
_space_group_IT_number 71
_space_group_name_Hall '-I 2 2'
_cell_length_a 3.181
_cell_length_b 4.179
_cell_length_c 8.215
_cell_angle_alpha 90.00
_cell_angle_beta 90.00
_cell_angle_gamma 90.00
loop_
_atom_site_label
_atom_site_fract_x
_atom_site_fract_y
_atom_site_fract_z
Be1 0.000 0.000 0.000
Re1 0.000 0.000 0.500
Pt1 0.000 0.500 0.281

=====

5.
# Be2RePt, optimized geometry, DFT GGA-PBE
# Fermi-level density of states = 0.704 states/eV per atom
# ΔH_f (0 K) = -299 meV per atom
# Crystal system = orthorhombic
data_Be2RePt
_chemical_formula_sum 'Be2 Re1 Pt1'
_space_group_name_H-M_alt 'P m m m'
_space_group_IT_number 47
_space_group_name_Hall '-P 2 2'
_cell_length_a 2.710
_cell_length_b 2.875
_cell_length_c 5.915
_cell_angle_alpha 90.00
_cell_angle_beta 90.00
_cell_angle_gamma 90.00
loop_
_atom_site_label
_atom_site_fract_x
_atom_site_fract_y
_atom_site_fract_z
Be1 0.000 0.000 0.237
Re1 0.500 0.500 0.500
Pt1 0.500 0.500 0.000

=====

6.
# BeRe2Pt, optimized geometry, DFT GGA-PBE
# Fermi-level density of states = 0.608 states/eV per atom
# ΔH_f (0 K) = -17 meV per atom
# Crystal system = orthorhombic
data_BeRe2Pt
_chemical_formula_sum 'Be2 Re4 Pt2'
_space_group_name_H-M_alt 'I m m m'
_space_group_IT_number 71
_space_group_name_Hall '-I 2 2'
_cell_length_a 2.836
_cell_length_b 4.319
_cell_length_c 8.850
_cell_angle_alpha 90.00
_cell_angle_beta 90.00
_cell_angle_gamma 90.00
loop_
_atom_site_label
_atom_site_fract_x
_atom_site_fract_y
_atom_site_fract_z
Be1 0.000 0.000 0.000
Re1 0.000 0.500 0.280
Pt1 0.000 0.000 0.500

=====

7.
# Be2RePt, optimized geometry, DFT GGA-PBE
# Fermi-level density of states = 0.743 states/eV per atom
# ΔH_f (0 K) = -122 meV per atom
# Crystal system = trigonal
data_Be2RePt
_chemical_formula_sum 'Be6 Re3 Pt3'
_space_group_name_H-M_alt 'R -3 m'
_space_group_IT_number 166
_space_group_name_Hall '-R 3 2"'
_cell_length_a 2.7367
_cell_length_b 2.7367
_cell_length_c 22.8671
_cell_angle_alpha 90.00
_cell_angle_beta 90.00
_cell_angle_gamma 120.00
loop_
_atom_site_label
_atom_site_fract_x
_atom_site_fract_y
_atom_site_fract_z
Be1 0.0000 0.0000 0.2484
Re1 0.0000 0.0000 0.0000
Pt1 0.0000 0.0000 0.5000

=====

8.
# BeRePt2, optimized geometry, DFT GGA-PBE
# Fermi-level density of states = 0.361 states/eV per atom
# ΔH_f (0 K) = -172 meV per atom
# Crystal system = orthorhombic
data_BeRePt2
_chemical_formula_sum 'Be1 Re1 Pt2'
_space_group_name_H-M_alt 'P m m 2'
_space_group_IT_number 25
_space_group_name_Hall 'P 2 -2'
_cell_length_a 2.712
_cell_length_b 4.323
_cell_length_c 4.828
_cell_angle_alpha 90.00
_cell_angle_beta 90.00
_cell_angle_gamma 90.00
loop_
_atom_site_label
_atom_site_fract_x
_atom_site_fract_y
_atom_site_fract_z
Be1 0.000 0.000 0.000
Re1 0.000 0.500 0.386
Pt1 0.500 0.000 0.550
Pt2 0.500 0.500 0.912